[1]
Compound: KFeNi2
Source: Alexandria via LeMat-Bulk
Functional: PBE-GGA
Structure: optimized geometry

Polymorph energy (0 for the lowest one), eV per atom: 0.486
Crystal system: orthorhombic
Space group: Cmmm (65)

```
KFeNi2
1.0
-0.2981 3.8296 5.3066
-0.1870 -4.8941 0.1269
2.1811 -0.0435 1.4520
Fe K Ni
1 1 2
direct
0.0000 0.5000 0.5000
0.5000 0.5000 0.0000
0.0000 0.0000 0.0000
0.5000 0.0000 0.5000
```

***

[2]
Compound: Sc2AlB2Rh5
Source: Alexandria via LeMat-Bulk
Functional: PBE-GGA
Structure: optimized geometry

Crystal system: tetragonal
Space group: P4/mbm (127)

```
Sc2AlB2Rh5
1.0
-1.9880 2.2624 0.5747
-0.1228 -2.3999 9.0224
7.1073 5.8270 1.6467
Sc Al B Rh
4 2 4 10
direct
0.0000 0.6749 0.1749
0.0000 0.3251 0.8251
0.0000 0.1749 0.3251
0.0000 0.8251 0.6749
0.0000 0.0000 0.0000
0.0000 0.5000 0.5000
0.0000 0.1245 0.6245
0.0000 0.8755 0.3755
0.0000 0.6245 0.8755
0.0000 0.3755 0.1245
0.5000 0.2159 0.0708
0.5000 0.7841 0.9292
0.5000 0.0708 0.7841
0.5000 0.7159 0.4292
0.5000 0.9292 0.2159
0.5000 0.2841 0.5708
0.5000 0.5708 0.7159
0.5000 0.4292 0.2841
0.5000 0.5000 0.0000
0.5000 0.0000 0.5000
```

***

[3]
Compound: Be2HSe
Source: Alexandria via LeMat-Bulk
Functional: PBE-GGA
Structure: optimized geometry

Polymorph energy (0 for the lowest one), eV per atom: 0.278
Crystal system: monoclinic
Space group: C2 (5)

```
Be2HSe
1.0
-2.8154 0.4824 -2.2611
0.1286 -3.3612 1.4022
-2.2279 1.2648 3.1156
Be H Se
2 1 1
direct
0.9311 0.3537 0.9294
0.4426 0.8654 0.2863
0.5623 0.2333 0.1074
0.9436 0.8520 0.6077
```

***

[4]
Compound: InSiSe2
Source: Alexandria via LeMat-Bulk
Functional: PBE-GGA
Structure: optimized geometry

Crystal system: cubic
Space group: F-43m (216)

```
InSiSe2
1.0
4.9543 0.0000 0.0000
2.4771 4.2905 0.0000
2.4771 1.4302 4.0452
In Se Si
1 2 1
direct
0.5000 0.5000 0.5000
0.0000 0.0000 0.0000
0.2500 0.2500 0.2500
0.7500 0.7500 0.7500
```

***

| no. | E (eV/f.u.) |
| --- | --- |
| 1 | -17.417 |
| 2 | -75.990 |
| 3 | -14.146 |
| 4 | -13.413 |